1.
The following is a PBE calculation of a relaxed structure of SrAl2SnN, from the Alexandria database.

Cell and atoms, written as POSCAR:
```
SrAl2SnN
1.0
-0.6877 4.8323 1.5441
1.0195 -1.8535 6.2544
5.0110 0.8898 -0.5531
Sr Al N Sn
1 2 1 1
Cartesian
0.5097 -0.9268 3.1272 Sr
-0.3438 2.4161 0.7721 Al
2.5055 0.4449 -0.2765 Al
2.6714 1.9343 3.6227 N
0.0000 0.0000 0.0000 Sn
```

Values from the calculation:
The space group is P4/mmm (123). As for the crystal system: tetragonal. The value obtained for the magnetic moment is 0.243 μB per atom. The raw formation energy is 1.238 eV per atom.

2.
The following is a PBE calculation of a relaxed structure of YMg2Ga2, from the Alexandria database.

Cell and atoms, written as POSCAR:
```
YMg2Ga2
1.0
-4.4319 1.0982 -6.8438
-2.8836 -7.6790 0.6352
-2.3667 1.0292 1.6977
Ga Mg Y
4 4 2
Cartesian
-3.8950 -4.4672 0.0887 Ga
-5.7872 -1.0844 -4.5996 Ga
-3.1305 -0.4599 -1.2748 Ga
-6.5517 -5.0917 -3.2361 Ga
-5.6815 -3.8308 -5.5979 Mg
-1.6340 -2.7500 -0.6108 Mg
-4.1915 -6.3130 -2.0161 Mg
-3.1240 -0.2677 -4.1925 Mg
0.0000 0.0000 0.0000 Y
-3.6578 -3.2904 -3.1043 Y
```

Values from the calculation:
The space group is P4/mbm (127). As for the crystal system: tetragonal. The value obtained for the formation energy is -0.23 eV/atom. The value obtained for the magnetic moment is 0.011 μB per atom.

3.
The following is a PBE calculation of a relaxed structure of LaAl3Ag, from the Alexandria database.

Cell and atoms, written as POSCAR:
```
LaAl3Ag
1.0
4.9252 0.0000 0.0000
0.0000 4.9252 0.0000
0.0000 0.0000 4.9252
Ag La Al
1 1 3
Cartesian
0.0000 0.0000 0.0000 Ag
2.4626 2.4626 2.4626 La
0.0000 2.4626 0.0000 Al
2.4626 0.0000 0.0000 Al
0.0000 0.0000 2.4626 Al
```

Values from the calculation:
The space group is Pm-3m (221). As for the crystal system: cubic. The value obtained for the relative energy among the computed polymorphs is 521.0 meV per atom. The value obtained for the formation energy is 0.08 eV/atom. The value obtained for the magnetic moment is 0.000 μB per atom.

4.
The following is a PBE calculation of a relaxed structure of Pu3Hf13, from the Alexandria database.

Cell and atoms, written as POSCAR:
```
Pu3Hf13
1.0
6.3685 0.0978 0.0000
0.0750 6.3688 0.0000
0.0000 0.0000 8.8280
Hf Pu
13 3
Cartesian
4.8834 4.9000 4.4140 Hf
0.0676 3.2364 6.6118 Hf
1.6584 4.7911 4.4140 Hf
4.7820 1.6787 4.4140 Hf
1.7394 1.6904 0.0000 Hf
3.2075 6.3875 6.6118 Hf
4.7594 4.7212 0.0000 Hf
3.2526 3.2027 2.2222 Hf
3.2075 6.3875 2.2162 Hf
0.0676 3.2364 2.2162 Hf
3.2526 3.2027 6.6058 Hf
1.5883 4.8610 0.0000 Hf
1.5611 1.5658 4.4140 Hf
6.2744 0.1916 2.1046 Pu
4.9726 1.4888 0.0000 Pu
6.2744 0.1916 6.7234 Pu
```

Values from the calculation:
The space group is Amm2 (38). As for the crystal system: orthorhombic. The value obtained for the formation energy is 0.06 eV/atom. The value obtained for the magnetic moment is 0.353 μB per atom.

5.
The following is a PBE calculation of a relaxed structure of Na2ZnH6Au, from the Alexandria database.

Cell and atoms, written as POSCAR:
```
Na2ZnH6Au
1.0
4.8111 0.0004 -0.0007
0.0004 4.8112 -0.0009
-2.4064 -2.4064 4.8024
Na Zn H Au
2 1 6 1
Cartesian
0.0010 2.4091 2.7014 Na
2.4065 0.0036 2.7015 Na
-0.0011 0.0011 0.4034 Zn
-1.2087 -1.2063 4.6354 H
-1.2085 1.2088 4.6317 H
-0.0006 0.0017 2.0384 H
2.4064 2.4090 2.1236 H
1.2064 -1.2061 4.6320 H
1.2062 1.2087 4.6312 H
2.4055 2.4079 0.2990 Au
```

Values from the calculation:
For the total energy, the calculation gives -27.6 eV per cell. The space group is I4mm (107). As for the crystal system: tetragonal. The value obtained for the magnetic moment is 0.000 μB per atom.

6.
The following is a PBE calculation of a relaxed structure of Pm2Sn4Rh5, from the Alexandria database.

Cell and atoms, written as POSCAR:
```
Pm2Sn4Rh5
1.0
-4.8560 -2.9758 -1.4894
-0.7022 -5.5027 1.6502
-6.0218 0.9962 6.0095
Rh Pm Sn
5 2 4
Cartesian
-7.0040 -4.4851 2.7128 Rh
-2.4280 -1.4879 -0.7447 Rh
-2.7791 -4.2393 0.0804 Rh
-4.5760 -2.9972 3.4575 Rh
-0.3511 -2.7514 0.8251 Rh
-5.6932 -2.3971 0.0841 Pm
-5.1846 0.4175 4.4361 Pm
-8.7687 -5.3587 4.3951 Sn
-2.8113 -2.1236 1.7752 Sn
-6.9649 -2.4187 4.2736 Sn
-4.6151 -5.0636 1.8967 Sn
```

Values from the calculation:
The space group is Fmmm (69). As for the crystal system: orthorhombic. The value obtained for the formation energy is -0.59 eV/atom. The value obtained for the magnetic moment is 0.000 μB per atom.